No. 1
Density functional theory data (PBE-GGA) for crystalline BaAl3Ru at its relaxed geometry.

Geometry as POSCAR:
```
BaAl3Ru
1.0
4.842 0.000 0.000
0.000 4.842 0.000
0.000 0.000 4.842
Ba Al Ru
1 3 1
Cartesian
0.000 0.000 0.000
0.000 2.421 2.421
2.421 0.000 2.421
2.421 2.421 0.000
2.421 2.421 2.421
```

Calculated values
The total energy is -4.9193 eV per atom. As for the space-group type: No. 221. Its formation enthalpy at 0 K is -2.2 eV/f.u. For the density of states at the Fermi level, the calculation gives 2.25 states/eV/cell.

No. 2
Density functional theory data (PBE-GGA) for crystalline BaAl2Ru at its relaxed geometry.

Geometry as POSCAR:
```
BaAl2Ru
1.0
3.561 0.000 0.000
0.000 4.775 0.000
0.000 0.000 5.136
Ba Al Ru
1 2 1
Cartesian
0.000 0.000 0.000
0.000 2.388 2.568
1.781 0.000 2.568
1.781 2.388 0.000
```

Calculated values
The total energy is -4.1005 eV per atom. As for the space-group type: No. 47. Its formation enthalpy at 0 K is 2.3 eV/f.u. For the density of states at the Fermi level, the calculation gives 4.25 states/eV/cell.

No. 3
Density functional theory data (PBE-GGA) for crystalline BaAl2Ru at its relaxed geometry.

Geometry as POSCAR:
```
BaAl2Ru
1.0
3.389 0.000 0.000
0.000 3.389 0.000
0.000 0.000 7.715
Ba Al Ru
1 2 1
Cartesian
0.000 0.000 0.000
0.000 0.000 3.360
1.695 1.695 5.018
1.695 1.695 2.512
```

Calculated values
The total energy is -4.7319 eV per atom. As for the space-group type: No. 99. Its formation enthalpy at 0 K is -0.2 eV/f.u. For the density of states at the Fermi level, the calculation gives 3.13 states/eV/cell.